1.
# Ce3LuS (GGA-PBE, relaxed)
# Calculated total energy   -5.831 eV/atom
# Energy relative to the elements, uncorrected   -0.541 eV per atom
# Calculated density   6.8 g/cm3
data_Ce3LuS
_symmetry_space_group_name_H-M 'P m -3 m'
_symmetry_Int_Tables_number 221
_symmetry_space_group_name_Hall '-P 4 2 3'
_cell_length_a 5.355
_cell_length_b 5.355
_cell_length_c 5.355
_cell_angle_alpha 90.00
_cell_angle_beta 90.00
_cell_angle_gamma 90.00
loop_
_atom_site_label
_atom_site_type_symbol
_atom_site_fract_x
_atom_site_fract_y
_atom_site_fract_z
Ce1 Ce 0.000 0.000 0.500
Lu1 Lu 0.500 0.500 0.500
S1 S 0.000 0.000 0.000

---

2.
# La2CdCuRu (GGA-PBE, relaxed)
# Calculated total energy   -4.881 eV/atom
# E_form   -0.05 eV per atom
# Calculated density   6.6 g/cm3
data_La2CdCuRu
_symmetry_space_group_name_H-M 'P 4/m m m'
_symmetry_Int_Tables_number 123
_symmetry_space_group_name_Hall '-P 4 2'
_cell_length_a 5.327
_cell_length_b 5.327
_cell_length_c 4.942
_cell_angle_alpha 90.00
_cell_angle_beta 90.00
_cell_angle_gamma 90.00
loop_
_atom_site_label
_atom_site_type_symbol
_atom_site_fract_x
_atom_site_fract_y
_atom_site_fract_z
La1 La 0.000 0.500 0.000
Cd1 Cd 0.000 0.000 0.500
Cu1 Cu 0.500 0.500 0.500
Ru1 Ru 0.500 0.500 0.000

---

- calculated density of number 2 (La2CdCuRu)?
  6.6 g/cm3

---

- Which of these has the lowest calculated density?
  La2CdCuRu